# 1
## Pm2PuBi (PBE)

Data for a geometry-optimized Pm2PuBi structure.

Unit cell a=4.1129 b=4.1129 c=7.2987 alpha=90.00 beta=90.00 gamma=90.00
Closest atoms and distances in Å follow each position.
Atoms (fractional coordinates):
Pm: 0.0000 0.0000 0.2662  4 Bi 3.37, 1 Pm 3.41, 4 Pu 3.50
Pm: 0.0000 0.0000 0.7338  4 Bi 3.37, 1 Pm 3.41, 4 Pu 3.50
Pu: 0.5000 0.5000 0.0000  8 Pm 3.50, 2 Bi 3.65
Bi: 0.5000 0.5000 0.5000  8 Pm 3.37, 2 Pu 3.65

Summary:
- Fermi-level density of states: 2.727 states/eV/atom
- E_tot: -7.18 eV/atom
- Spin magnetization: 1.710 μB/atom
- Crystal system: tetragonal

---

# 2
## Hf4ZrIn4 (PBE)

Data for a geometry-optimized Hf4ZrIn4 structure.

Unit cell a=4.4924 b=7.0767 c=7.0767 alpha=84.22 beta=71.49 gamma=71.49
Closest atoms and distances in Å follow each position.
Atoms (fractional coordinates):
Zr: 0.0000 0.0000 0.0000  4 In 3.05, 8 Hf 3.18
In: 0.0000 0.3218 0.6782  1 Zr 3.05, 6 Hf 3.12-3.15, 5 In 3.28-3.38
In: 0.0000 0.6782 0.3218  1 Zr 3.05, 6 Hf 3.12-3.15, 5 In 3.28-3.38
In: 0.3218 0.6782 0.6782  1 Zr 3.05, 6 Hf 3.12-3.15, 5 In 3.28-3.38
In: 0.6782 0.3218 0.3218  1 Zr 3.05, 6 Hf 3.12-3.15, 5 In 3.28-3.38
Hf: 0.3318 0.3363 0.0000  6 In 3.12-3.15, 4 Hf 3.14-3.19, 2 Zr 3.18
Hf: 0.6682 0.0000 0.6637  6 In 3.12-3.15, 4 Hf 3.14-3.19, 2 Zr 3.18
Hf: 0.6682 0.6637 0.0000  6 In 3.12-3.15, 4 Hf 3.14-3.19, 2 Zr 3.18
Hf: 0.3318 0.0000 0.3363  6 In 3.12-3.15, 4 Hf 3.14-3.19, 2 Zr 3.18

Summary:
- Fermi-level density of states: 0.823 states/eV/atom
- E_tot: -6.66 eV/atom
- Spin magnetization: 0.000 μB/atom
- Crystal system: tetragonal

---

# 3
## KIr5S8 (PBE)

Data for a geometry-optimized KIr5S8 structure.

Unit cell a=3.6351 b=8.4999 c=9.1126 alpha=105.35 beta=102.44 gamma=88.51
Closest atoms and distances in Å follow each position.
Atoms (fractional coordinates):
Ir: 0.0160 0.9885 0.0130  6 S 2.33-2.50
Ir: 0.3486 0.0384 0.6786  6 S 2.33-2.55
Ir: 0.5234 0.9532 0.2947  5 S 2.27-2.54
Ir: 0.3419 0.6730 0.6002  5 S 2.33-2.60
Ir: 0.7532 0.3134 0.4135  6 S 2.34-2.45
S: 0.7548 0.8699 0.5229  4 Ir 2.35-2.60
S: 0.2106 0.4788 0.3525  3 Ir 2.38-2.45
S: 0.9207 0.1694 0.8323  3 Ir 2.36-2.50
S: 0.8757 0.5214 0.6513  3 Ir 2.33-2.37
S: 0.9787 0.8100 0.1651  3 Ir 2.27-2.36
S: 0.5912 0.1588 0.1437  4 Ir 2.38-2.54
S: 0.2903 0.1667 0.4756  4 Ir 2.34-2.38
S: 0.4397 0.8707 0.8479  4 Ir 2.33-2.40
K: 0.4554 0.4877 0.0088  7 S 3.19-3.56

Summary:
- Fermi-level density of states: 0.045 states/eV/atom
- Spin magnetization: 0.000 μB/atom
- ΔE_f (raw): -0.390 eV per atom
- Crystal system: triclinic